Record 1
Computed, not measured: HoTm2Pd after structural relaxation at the GGA-PBE level of DFT.

```
data_HoTm2Pd
_cell_length_a 3.6587
_cell_length_b 3.6587
_cell_length_c 28.4753
_cell_angle_alpha 90.00
_cell_angle_beta 90.00
_cell_angle_gamma 120.00
_symmetry_space_group_name_H-M 'R 3 m'
_symmetry_Int_Tables_number 160
_symmetry_space_group_name_Hall 'R 3 -2"'
loop_
_atom_site_label
_atom_site_fract_x
_atom_site_fract_y
_atom_site_fract_z
Ho1 0.0000 0.0000 0.0000
Tm1 0.0000 0.0000 0.2340
Tm2 0.0000 0.0000 0.4353
Pd1 0.0000 0.0000 0.8348
```

Energy relative to the lowest polymorph listed for this composition (meV/atom): 177.6
Mass density (kg/m³): 9194
Raw total energy (eV per atom): -4.994
DFT formation energy (eV/atom): -0.316


Record 2
Computed, not measured: HoTmPd2 after structural relaxation at the GGA-PBE level of DFT.

```
data_HoTmPd2
_cell_length_a 4.0534
_cell_length_b 4.0534
_cell_length_c 19.7346
_cell_angle_alpha 90.00
_cell_angle_beta 90.00
_cell_angle_gamma 120.00
_symmetry_space_group_name_H-M 'R -3 m'
_symmetry_Int_Tables_number 166
_symmetry_space_group_name_Hall '-R 3 2"'
loop_
_atom_site_label
_atom_site_fract_x
_atom_site_fract_y
_atom_site_fract_z
Ho1 0.0000 0.0000 0.0000
Tm1 0.0000 0.0000 0.5000
Pd1 0.0000 0.0000 0.2487
```

Energy relative to the lowest polymorph listed for this composition (meV/atom): 190.6
Mass density (kg/m³): 9699
Raw total energy (eV per atom): -5.611
DFT formation energy (eV/atom): -0.752


Record 3
Computed, not measured: HoTm6Pd3 after structural relaxation at the GGA-PBE level of DFT.

```
data_HoTm6Pd3
_cell_length_a 11.1569
_cell_length_b 13.0398
_cell_length_c 7.1837
_cell_angle_alpha 90.00
_cell_angle_beta 90.00
_cell_angle_gamma 90.00
_symmetry_space_group_name_H-M 'C m c 21'
_symmetry_Int_Tables_number 36
_symmetry_space_group_name_Hall 'C 2c -2'
loop_
_atom_site_label
_atom_site_fract_x
_atom_site_fract_y
_atom_site_fract_z
Ho1 0.0000 0.1836 0.0000
Tm1 0.0000 0.2709 0.5212
Tm2 0.0000 0.4666 0.8777
Tm3 0.1676 0.0395 0.3722
Tm4 0.2281 0.3080 0.2199
Pd1 0.0000 0.0785 0.6653
Pd2 0.1916 0.3967 0.5847
```

Mass density (kg/m³): 9519
Raw total energy (eV per atom): -5.227
DFT formation energy (eV/atom): -0.528


Record 4
Computed, not measured: HoTmPd2 after structural relaxation at the GGA-PBE level of DFT.

```
data_HoTmPd2
_cell_length_a 4.5033
_cell_length_b 3.7129
_cell_length_c 10.4873
_cell_angle_alpha 90.00
_cell_angle_beta 90.00
_cell_angle_gamma 90.00
_symmetry_space_group_name_H-M 'A m m 2'
_symmetry_Int_Tables_number 38
_symmetry_space_group_name_Hall 'A 2 -2'
loop_
_atom_site_label
_atom_site_fract_x
_atom_site_fract_y
_atom_site_fract_z
Ho1 0.0000 0.0000 0.0000
Tm1 0.5000 0.0000 0.2755
Pd1 0.0000 0.0000 0.7252
Pd2 0.5000 0.0000 0.5516
```

Energy relative to the lowest polymorph listed for this composition (meV/atom): 0.0
Mass density (kg/m³): 10354
Raw total energy (eV per atom): -5.801
DFT formation energy (eV/atom): -0.942


Record 5
Computed, not measured: HoTm3Pd6 after structural relaxation at the GGA-PBE level of DFT.

```
data_HoTm3Pd6
_cell_length_a 8.2410
_cell_length_b 4.8676
_cell_length_c 10.2386
_cell_angle_alpha 90.00
_cell_angle_beta 106.84
_cell_angle_gamma 90.00
_symmetry_space_group_name_H-M 'P 1 21/m 1'
_symmetry_Int_Tables_number 11
_symmetry_space_group_name_Hall '-P 2yb'
loop_
_atom_site_label
_atom_site_fract_x
_atom_site_fract_y
_atom_site_fract_z
Ho1 0.0644 0.2500 0.3873
Tm1 0.2129 0.2500 0.0130
Tm2 0.3574 0.7500 0.8069
Tm3 0.4779 0.2500 0.6135
Pd1 0.0763 0.7500 0.8991
Pd2 0.1469 0.7500 0.2010
Pd3 0.1572 0.2500 0.7003
Pd4 0.2476 0.7500 0.5150
Pd5 0.3631 0.2500 0.3046
Pd6 0.4477 0.7500 0.0933
```

Mass density (kg/m³): 11069
Raw total energy (eV per atom): -5.806
DFT formation energy (eV/atom): -0.891


Record 6
Computed, not measured: Ho4TmPd2 after structural relaxation at the GGA-PBE level of DFT.

```
data_Ho4TmPd2
_cell_length_a 9.0216
_cell_length_b 12.8708
_cell_length_c 6.3449
_cell_angle_alpha 90.00
_cell_angle_beta 90.00
_cell_angle_gamma 90.00
_symmetry_space_group_name_H-M 'C m c m'
_symmetry_Int_Tables_number 63
_symmetry_space_group_name_Hall '-C 2c 2'
loop_
_atom_site_label
_atom_site_fract_x
_atom_site_fract_y
_atom_site_fract_z
Ho1 0.1856 0.2391 0.2500
Ho2 0.2011 0.5000 0.0000
Tm1 0.0000 0.1422 0.7500
Pd1 0.0000 0.0676 0.2500
Pd2 0.0000 0.3610 0.7500
```

Energy relative to the lowest polymorph listed for this composition (meV/atom): 0.0
Mass density (kg/m³): 9390
Raw total energy (eV per atom): -5.102
DFT formation energy (eV/atom): -0.364


Record 7
Computed, not measured: HoTmPd2 after structural relaxation at the GGA-PBE level of DFT.

```
data_HoTmPd2
_cell_length_a 4.9584
_cell_length_b 4.9584
_cell_length_c 3.4150
_cell_angle_alpha 90.00
_cell_angle_beta 90.00
_cell_angle_gamma 90.00
_symmetry_space_group_name_H-M 'P 4/m m m'
_symmetry_Int_Tables_number 123
_symmetry_space_group_name_Hall '-P 4 2'
loop_
_atom_site_label
_atom_site_fract_x
_atom_site_fract_y
_atom_site_fract_z
Ho1 0.0000 0.0000 0.0000
Tm1 0.5000 0.5000 0.0000
Pd1 0.0000 0.5000 0.5000
```

Energy relative to the lowest polymorph listed for this composition (meV/atom): 17.9
Mass density (kg/m³): 10813
Raw total energy (eV per atom): -5.783
DFT formation energy (eV/atom): -0.925


Record 8
Computed, not measured: HoTm2Pd2 after structural relaxation at the GGA-PBE level of DFT.

```
data_HoTm2Pd2
_cell_length_a 7.7108
_cell_length_b 7.7108
_cell_length_c 3.9257
_cell_angle_alpha 90.00
_cell_angle_beta 90.00
_cell_angle_gamma 90.00
_symmetry_space_group_name_H-M 'P 4/m b m'
_symmetry_Int_Tables_number 127
_symmetry_space_group_name_Hall '-P 4 2ab'
loop_
_atom_site_label
_atom_site_fract_x
_atom_site_fract_y
_atom_site_fract_z
Ho1 0.0000 0.0000 0.0000
Tm1 0.1632 0.3368 0.5000
Pd1 0.1343 0.6343 0.0000
```

Energy relative to the lowest polymorph listed for this composition (meV/atom): 0.0
Mass density (kg/m³): 10183
Raw total energy (eV per atom): -5.544
DFT formation energy (eV/atom): -0.763


Record 9
Computed, not measured: HoTm2Pd after structural relaxation at the GGA-PBE level of DFT.

```
data_HoTm2Pd
_cell_length_a 3.5910
_cell_length_b 3.5910
_cell_length_c 29.1107
_cell_angle_alpha 90.00
_cell_angle_beta 90.00
_cell_angle_gamma 120.00
_symmetry_space_group_name_H-M 'R -3 m'
_symmetry_Int_Tables_number 166
_symmetry_space_group_name_Hall '-R 3 2"'
loop_
_atom_site_label
_atom_site_fract_x
_atom_site_fract_y
_atom_site_fract_z
Ho1 0.0000 0.0000 0.0000
Tm1 0.0000 0.0000 0.2335
Pd1 0.0000 0.0000 0.5000
```

Energy relative to the lowest polymorph listed for this composition (meV/atom): 185.5
Mass density (kg/m³): 9335
Raw total energy (eV per atom): -4.986
DFT formation energy (eV/atom): -0.308


Record 10
Computed, not measured: HoTm2Pd3 after structural relaxation at the GGA-PBE level of DFT.

```
data_HoTm2Pd3
_cell_length_a 4.9484
_cell_length_b 14.8503
_cell_length_c 3.4114
_cell_angle_alpha 90.00
_cell_angle_beta 90.00
_cell_angle_gamma 90.00
_symmetry_space_group_name_H-M 'C m m m'
_symmetry_Int_Tables_number 65
_symmetry_space_group_name_Hall '-C 2 2'
loop_
_atom_site_label
_atom_site_fract_x
_atom_site_fract_y
_atom_site_fract_z
Ho1 0.0000 0.0000 0.0000
Tm1 0.0000 0.3332 0.0000
Pd1 0.0000 0.1687 0.5000
Pd2 0.0000 0.5000 0.5000
```

Energy relative to the lowest polymorph listed for this composition (meV/atom): 0.0
Mass density (kg/m³): 10890
Raw total energy (eV per atom): -5.781
DFT formation energy (eV/atom): -0.931


Record 11
Computed, not measured: HoTm5Pd2 after structural relaxation at the GGA-PBE level of DFT.

```
data_HoTm5Pd2
_cell_length_a 3.7142
_cell_length_b 12.9772
_cell_length_c 17.8974
_cell_angle_alpha 90.00
_cell_angle_beta 90.00
_cell_angle_gamma 90.00
_symmetry_space_group_name_H-M 'C m c m'
_symmetry_Int_Tables_number 63
_symmetry_space_group_name_Hall '-C 2c 2'
loop_
_atom_site_label
_atom_site_fract_x
_atom_site_fract_y
_atom_site_fract_z
Ho1 0.0000 0.1836 0.2500
Tm1 0.0000 0.0826 0.7500
Tm2 0.0000 0.1636 0.0499
Tm3 0.0000 0.4471 0.0923
Pd1 0.0000 0.2237 0.6334
```

Mass density (kg/m³): 9412
Raw total energy (eV per atom): -5.055
DFT formation energy (eV/atom): -0.390


Record 12
Computed, not measured: Ho3Tm2Pd2 after structural relaxation at the GGA-PBE level of DFT.

```
data_Ho3Tm2Pd2
_cell_length_a 3.6793
_cell_length_b 6.5343
_cell_length_c 8.2713
_cell_angle_alpha 84.86
_cell_angle_beta 77.20
_cell_angle_gamma 73.72
_symmetry_space_group_name_H-M 'P -1'
_symmetry_Int_Tables_number 2
_symmetry_space_group_name_Hall '-P 1'
loop_
_atom_site_label
_atom_site_fract_x
_atom_site_fract_y
_atom_site_fract_z
Ho1 0.0000 0.0000 0.0000
Ho2 0.1548 0.3984 0.2923
Tm1 0.3881 0.8494 0.3744
Pd1 0.3592 0.3547 0.9265
```

Energy relative to the lowest polymorph listed for this composition (meV/atom): 122.1
Mass density (kg/m³): 9331
Raw total energy (eV per atom): -5.136
DFT formation energy (eV/atom): -0.413